LiBeZn | PBE | optimized geometry

It has space group I4mm (No. 107), with a = 2.870 Å, b = 2.870 Å, c = 8.820 Å, α = 90.00°, β = 90.00° and γ = 90.00°. The asymmetric unit holds Li at (0.000, 0.000, 0.000), Be at (0.000, 0.000, 0.670) and Zn at (0.000, 0.000, 0.312).

As for the total magnetization: 0.00 Bohr magnetons per cell. The value obtained for the total energy is -13.43 eV for the cell shown. The calculation puts the density of states at the Fermi level at 1.82 states/eV/cell. Its energy above the most stable polymorph in this dataset is 42 meV per atom.